# PBE-GGA AcTbMgSi, relaxed
# Raw formation energy ... -183 meV/atom
# Space-group type ... No. 216
# DOS(E_F) ... 0.86 states/eV per atom
data_AcTbMgSi
_chemical_formula_sum 'Ac1 Tb1 Mg1 Si1'
_symmetry_space_group_name_H-M 'P 1'
_symmetry_Int_Tables_number 1
_cell_length_a 5.3554
_cell_length_b 5.3554
_cell_length_c 5.3554
_cell_angle_alpha 60.00
_cell_angle_beta 60.00
_cell_angle_gamma 60.00
loop_
_symmetry_equiv_pos_as_xyz
'x,y,z'
loop_
_atom_site_label
_atom_site_type_symbol
_atom_site_fract_x
_atom_site_fract_y
_atom_site_fract_z
Ac1 Ac 0.0000 0.0000 0.0000
Tb1 Tb 0.5000 0.5000 0.5000
Mg1 Mg 0.2500 0.2500 0.2500
Si1 Si 0.7500 0.7500 0.7500

***

# PBE-GGA Ac2MgZn4Si3, relaxed
# Raw formation energy ... -361 meV/atom
# Space-group type ... No. 115
# DOS(E_F) ... 0.18 states/eV per atom
data_Ac2MgZn4Si3
_chemical_formula_sum 'Ac2 Mg1 Zn4 Si3'
_symmetry_space_group_name_H-M 'P 1'
_symmetry_Int_Tables_number 1
_cell_length_a 4.4043
_cell_length_b 4.4043
_cell_length_c 10.6613
_cell_angle_alpha 90.00
_cell_angle_beta 90.00
_cell_angle_gamma 90.00
loop_
_symmetry_equiv_pos_as_xyz
'x,y,z'
loop_
_atom_site_label
_atom_site_type_symbol
_atom_site_fract_x
_atom_site_fract_y
_atom_site_fract_z
Ac1 Ac 0.0000 0.5000 0.2396
Ac2 Ac 0.5000 0.0000 0.7604
Mg1 Mg 0.0000 0.0000 0.5000
Zn1 Zn 0.0000 0.0000 0.0000
Zn2 Zn 0.0000 0.5000 0.6384
Zn3 Zn 0.5000 0.0000 0.3616
Zn4 Zn 0.5000 0.5000 0.0000
Si1 Si 0.0000 0.5000 0.8721
Si2 Si 0.5000 0.0000 0.1279
Si3 Si 0.5000 0.5000 0.5000

***

# PBE-GGA Ac2MgZn3Si4, relaxed
# Raw formation energy ... -366 meV/atom
# Space-group type ... No. 115
# DOS(E_F) ... 0.28 states/eV per atom
data_Ac2MgZn3Si4
_chemical_formula_sum 'Ac2 Mg1 Zn3 Si4'
_symmetry_space_group_name_H-M 'P 1'
_symmetry_Int_Tables_number 1
_cell_length_a 4.4778
_cell_length_b 4.4778
_cell_length_c 10.3773
_cell_angle_alpha 90.00
_cell_angle_beta 90.00
_cell_angle_gamma 90.00
loop_
_symmetry_equiv_pos_as_xyz
'x,y,z'
loop_
_atom_site_label
_atom_site_type_symbol
_atom_site_fract_x
_atom_site_fract_y
_atom_site_fract_z
Ac1 Ac 0.0000 0.5000 0.2355
Ac2 Ac 0.5000 0.0000 0.7645
Mg1 Mg 0.0000 0.0000 0.5000
Zn1 Zn 0.0000 0.5000 0.8830
Zn2 Zn 0.5000 0.0000 0.1170
Zn3 Zn 0.5000 0.5000 0.5000
Si1 Si 0.0000 0.0000 0.0000
Si2 Si 0.0000 0.5000 0.6424
Si3 Si 0.5000 0.0000 0.3576
Si4 Si 0.5000 0.5000 0.0000

***

# PBE-GGA AcMgZnSi2, relaxed
# Raw formation energy ... -399 meV/atom
# Space-group type ... No. 119
# DOS(E_F) ... 0.38 states/eV per atom
data_AcMgZnSi2
_chemical_formula_sum 'Ac1 Mg1 Zn1 Si2'
_symmetry_space_group_name_H-M 'P 1'
_symmetry_Int_Tables_number 1
_cell_length_a 6.4048
_cell_length_b 6.4048
_cell_length_c 6.4048
_cell_angle_alpha 140.24
_cell_angle_beta 140.24
_cell_angle_gamma 57.48
loop_
_symmetry_equiv_pos_as_xyz
'x,y,z'
loop_
_atom_site_label
_atom_site_type_symbol
_atom_site_fract_x
_atom_site_fract_y
_atom_site_fract_z
Ac1 Ac 0.0000 0.0000 0.0000
Mg1 Mg 0.7500 0.2500 0.5000
Zn1 Zn 0.2500 0.7500 0.5000
Si1 Si 0.3892 0.3892 0.0000
Si2 Si 0.6108 0.6108 0.0000

***

# PBE-GGA Ac2Sm2Mg15, relaxed
# Space-group type ... No. 166
# DOS(E_F) ... 0.85 states/eV per atom
# Formation energy from the elements ... -0.88 kcal/mol of atoms
data_Ac2Sm2Mg15
_chemical_formula_sum 'Ac2 Sm2 Mg15'
_symmetry_space_group_name_H-M 'P 1'
_symmetry_Int_Tables_number 1
_cell_length_a 8.0608
_cell_length_b 8.0608
_cell_length_c 8.0608
_cell_angle_alpha 83.53
_cell_angle_beta 83.53
_cell_angle_gamma 83.53
loop_
_symmetry_equiv_pos_as_xyz
'x,y,z'
loop_
_atom_site_label
_atom_site_type_symbol
_atom_site_fract_x
_atom_site_fract_y
_atom_site_fract_z
Ac1 Ac 0.1620 0.1620 0.1620
Ac2 Ac 0.8380 0.8380 0.8380
Sm1 Sm 0.4038 0.4038 0.4038
Sm2 Sm 0.5962 0.5962 0.5962
Mg1 Mg 0.0000 0.5000 0.5000
Mg2 Mg 0.1467 0.1467 0.6548
Mg3 Mg 0.1467 0.6548 0.1467
Mg4 Mg 0.2060 0.5000 0.7940
Mg5 Mg 0.2060 0.7940 0.5000
Mg6 Mg 0.3452 0.8533 0.8533
Mg7 Mg 0.5000 0.0000 0.5000
Mg8 Mg 0.5000 0.2060 0.7940
Mg9 Mg 0.5000 0.5000 0.0000
Mg10 Mg 0.5000 0.7940 0.2060
Mg11 Mg 0.6548 0.1467 0.1467
Mg12 Mg 0.7940 0.2060 0.5000
Mg13 Mg 0.7940 0.5000 0.2060
Mg14 Mg 0.8533 0.3452 0.8533
Mg15 Mg 0.8533 0.8533 0.3452

***

# PBE-GGA Ac2SmMg, relaxed
# Space-group type ... No. 123
# DOS(E_F) ... 1.05 states/eV per atom
# Formation energy from the elements ... -0.33 kcal/mol of atoms
# ΔE to the lowest computed polymorph ... 0 meV per atom
data_Ac2SmMg
_chemical_formula_sum 'Ac2 Sm1 Mg1'
_symmetry_space_group_name_H-M 'P 1'
_symmetry_Int_Tables_number 1
_cell_length_a 3.9916
_cell_length_b 3.9916
_cell_length_c 9.3901
_cell_angle_alpha 90.00
_cell_angle_beta 90.00
_cell_angle_gamma 90.00
loop_
_symmetry_equiv_pos_as_xyz
'x,y,z'
loop_
_atom_site_label
_atom_site_type_symbol
_atom_site_fract_x
_atom_site_fract_y
_atom_site_fract_z
Ac1 Ac 0.0000 0.0000 0.2291
Ac2 Ac 0.0000 0.0000 0.7709
Sm1 Sm 0.5000 0.5000 0.5000
Mg1 Mg 0.5000 0.5000 0.0000

***

# PBE-GGA Ac3SmMg2, relaxed
# Space-group type ... No. 123
# DOS(E_F) ... 1.14 states/eV per atom
# Formation energy from the elements ... -0.75 kcal/mol of atoms
data_Ac3SmMg2
_chemical_formula_sum 'Ac3 Sm1 Mg2'
_symmetry_space_group_name_H-M 'P 1'
_symmetry_Int_Tables_number 1
_cell_length_a 4.0445
_cell_length_b 4.0445
_cell_length_c 13.4278
_cell_angle_alpha 90.00
_cell_angle_beta 90.00
_cell_angle_gamma 90.00
loop_
_symmetry_equiv_pos_as_xyz
'x,y,z'
loop_
_atom_site_label
_atom_site_type_symbol
_atom_site_fract_x
_atom_site_fract_y
_atom_site_fract_z
Ac1 Ac 0.0000 0.0000 0.0000
Ac2 Ac 0.0000 0.0000 0.3121
Ac3 Ac 0.0000 0.0000 0.6879
Sm1 Sm 0.5000 0.5000 0.5000
Mg1 Mg 0.5000 0.5000 0.1573
Mg2 Mg 0.5000 0.5000 0.8427

***

# PBE-GGA Ac4SmMg2, relaxed
# Space-group type ... No. 139
# DOS(E_F) ... 1.35 states/eV per atom
# Formation energy from the elements ... 3.07 kcal/mol of atoms
data_Ac4SmMg2
_chemical_formula_sum 'Ac4 Sm1 Mg2'
_symmetry_space_group_name_H-M 'P 1'
_symmetry_Int_Tables_number 1
_cell_length_a 7.1519
_cell_length_b 7.1519
_cell_length_c 7.1519
_cell_angle_alpha 111.50
_cell_angle_beta 111.50
_cell_angle_gamma 105.48
loop_
_symmetry_equiv_pos_as_xyz
'x,y,z'
loop_
_atom_site_label
_atom_site_type_symbol
_atom_site_fract_x
_atom_site_fract_y
_atom_site_fract_z
Ac1 Ac 0.0000 0.0000 0.5000
Ac2 Ac 0.0000 0.5000 0.0000
Ac3 Ac 0.5000 0.0000 0.0000
Ac4 Ac 0.5000 0.5000 0.5000
Sm1 Sm 0.0000 0.0000 0.0000
Mg1 Mg 0.0000 0.5000 0.5000
Mg2 Mg 0.5000 0.0000 0.5000

***

# PBE-GGA AcSmMg, relaxed
# Space-group type ... No. 156
# DOS(E_F) ... 0.98 states/eV per atom
# Formation energy from the elements ... 1.24 kcal/mol of atoms
# ΔE to the lowest computed polymorph ... 85 meV per atom
data_AcSmMg
_chemical_formula_sum 'Ac1 Sm1 Mg1'
_symmetry_space_group_name_H-M 'P 1'
_symmetry_Int_Tables_number 1
_cell_length_a 5.6874
_cell_length_b 5.6874
_cell_length_c 3.6755
_cell_angle_alpha 90.00
_cell_angle_beta 90.00
_cell_angle_gamma 120.00
loop_
_symmetry_equiv_pos_as_xyz
'x,y,z'
loop_
_atom_site_label
_atom_site_type_symbol
_atom_site_fract_x
_atom_site_fract_y
_atom_site_fract_z
Ac1 Ac 0.0000 0.0000 0.0000
Sm1 Sm 0.6667 0.3333 0.5573
Mg1 Mg 0.3333 0.6667 0.3779

***

# PBE-GGA Ac2SmMg6, relaxed
# Space-group type ... No. 191
# DOS(E_F) ... 1.08 states/eV per atom
# Formation energy from the elements ... -1.41 kcal/mol of atoms
data_Ac2SmMg6
_chemical_formula_sum 'Ac2 Sm1 Mg6'
_symmetry_space_group_name_H-M 'P 1'
_symmetry_Int_Tables_number 1
_cell_length_a 9.3214
_cell_length_b 9.3214
_cell_length_c 3.5892
_cell_angle_alpha 90.00
_cell_angle_beta 90.00
_cell_angle_gamma 120.00
loop_
_symmetry_equiv_pos_as_xyz
'x,y,z'
loop_
_atom_site_label
_atom_site_type_symbol
_atom_site_fract_x
_atom_site_fract_y
_atom_site_fract_z
Ac1 Ac 0.3333 0.6667 0.0000
Ac2 Ac 0.6667 0.3333 0.0000
Sm1 Sm 0.0000 0.0000 0.0000
Mg1 Mg 0.0000 0.3261 0.5000
Mg2 Mg 0.0000 0.6739 0.5000
Mg3 Mg 0.3261 0.0000 0.5000
Mg4 Mg 0.3261 0.3261 0.5000
Mg5 Mg 0.6739 0.0000 0.5000
Mg6 Mg 0.6739 0.6739 0.5000

***

# PBE-GGA AcSmMg, relaxed
# Space-group type ... No. 51
# DOS(E_F) ... 1.39 states/eV per atom
# Formation energy from the elements ... 2.08 kcal/mol of atoms
# ΔE to the lowest computed polymorph ... 122 meV per atom
data_AcSmMg
_chemical_formula_sum 'Ac2 Sm2 Mg2'
_symmetry_space_group_name_H-M 'P 1'
_symmetry_Int_Tables_number 1
_cell_length_a 6.3611
_cell_length_b 3.7988
_cell_length_c 8.8915
_cell_angle_alpha 90.00
_cell_angle_beta 90.00
_cell_angle_gamma 90.00
loop_
_symmetry_equiv_pos_as_xyz
'x,y,z'
loop_
_atom_site_label
_atom_site_type_symbol
_atom_site_fract_x
_atom_site_fract_y
_atom_site_fract_z
Ac1 Ac 0.2500 0.0000 0.1394
Ac2 Ac 0.7500 0.0000 0.8606
Sm1 Sm 0.2500 0.5000 0.7641
Sm2 Sm 0.7500 0.5000 0.2359
Mg1 Mg 0.0000 0.0000 0.5000
Mg2 Mg 0.5000 0.0000 0.5000

***

# PBE-GGA AcSmMg4, relaxed
# Space-group type ... No. 216
# DOS(E_F) ... 0.82 states/eV per atom
# Formation energy from the elements ... -2.40 kcal/mol of atoms
data_AcSmMg4
_chemical_formula_sum 'Ac1 Sm1 Mg4'
_symmetry_space_group_name_H-M 'P 1'
_symmetry_Int_Tables_number 1
_cell_length_a 6.2260
_cell_length_b 6.2260
_cell_length_c 6.2260
_cell_angle_alpha 60.00
_cell_angle_beta 60.00
_cell_angle_gamma 60.00
loop_
_symmetry_equiv_pos_as_xyz
'x,y,z'
loop_
_atom_site_label
_atom_site_type_symbol
_atom_site_fract_x
_atom_site_fract_y
_atom_site_fract_z
Ac1 Ac 0.0000 0.0000 0.0000
Sm1 Sm 0.7500 0.7500 0.7500
Mg1 Mg 0.3759 0.3759 0.3759
Mg2 Mg 0.3759 0.3759 0.8724
Mg3 Mg 0.3759 0.8724 0.3759
Mg4 Mg 0.8724 0.3759 0.3759